No. 1
Entry from Alexandria: a geometry-optimized RbC5 structure (GGA-PBE).

POSCAR file:
```
RbC5
1.0
-0.334 -1.726 -1.988
-0.864 -1.821 1.727
-8.795 3.058 -1.176
C Rb
5 1
direct
0.000 0.000 0.357
0.000 0.000 0.643
0.500 0.500 0.306
0.500 0.500 0.694
0.000 0.000 0.500
0.500 0.500 0.000
```

Values from the calculation:
Total energy: -5.229 eV per atom
Space group: P4/mmm

No. 2
Entry from Alexandria: a geometry-optimized RbC structure (GGA-PBE).

POSCAR file:
```
RbC
1.0
5.036 0.000 0.000
2.518 4.361 0.000
2.518 1.454 4.112
Rb C
1 1
direct
0.750 0.750 0.750
0.000 0.000 0.000
```

Values from the calculation:
Total energy: -2.716 eV per atom
Space group: F-43m

What did the second record say?
Entry from Alexandria: a geometry-optimized RbC structure (GGA-PBE).

POSCAR file:
```
RbC
1.0
5.036 0.000 0.000
2.518 4.361 0.000
2.518 1.454 4.112
Rb C
1 1
direct
0.750 0.750 0.750
0.000 0.000 0.000
```

Values from the calculation:
Total energy: -2.716 eV per atom
Space group: F-43m

Repeat the second record exactly.
Entry from Alexandria: a geometry-optimized RbC structure (GGA-PBE).

POSCAR file:
```
RbC
1.0
5.036 0.000 0.000
2.518 4.361 0.000
2.518 1.454 4.112
Rb C
1 1
direct
0.750 0.750 0.750
0.000 0.000 0.000
```

Values from the calculation:
Total energy: -2.716 eV per atom
Space group: F-43m

> Which formula does entry 1 have?

RbC5